[1]
# TaNbAs3 (PBE-GGA, relaxed)
# **Fermi-level density of states**: 4.24 states/eV/cell
# **VASP energy**: -6.433 eV/atom
# **ΔE to the lowest computed polymorph**: 0.000 eV per atom
# **V**: 121 Å³ per cell
data_TaNbAs3
_chemical_formula_sum 'Ta1 Nb1 As3'
_cell_length_a 4.9463
_cell_length_b 4.9463
_cell_length_c 4.9463
_cell_angle_alpha 90.00
_cell_angle_beta 90.00
_cell_angle_gamma 90.00
_symmetry_space_group_name_H-M 'P m -3 m'
_symmetry_Int_Tables_number 221
_symmetry_space_group_name_Hall '-P 4 2 3'
loop_
_atom_site_label
_atom_site_type_symbol
_atom_site_fract_x
_atom_site_fract_y
_atom_site_fract_z
_atom_site_occupancy
Ta1 Ta 0.0000 0.0000 0.0000 1
Nb1 Nb 0.5000 0.5000 0.5000 1
As1 As 0.0000 0.0000 0.5000 1



[2]
# Tl2CrCo (PBE-GGA, relaxed)
# **Fermi-level density of states**: 3.64 states/eV/cell
# **VASP energy**: -4.853 eV/atom
# **ΔE to the lowest computed polymorph**: 0.000 eV per atom
# **V**: 78 Å³ per cell
data_Tl2CrCo
_chemical_formula_sum 'Tl2 Cr1 Co1'
_cell_length_a 3.1172
_cell_length_b 3.1172
_cell_length_c 7.9792
_cell_angle_alpha 90.00
_cell_angle_beta 90.00
_cell_angle_gamma 90.00
_symmetry_space_group_name_H-M 'P 4 m m'
_symmetry_Int_Tables_number 99
_symmetry_space_group_name_Hall 'P 4 -2'
loop_
_atom_site_label
_atom_site_type_symbol
_atom_site_fract_x
_atom_site_fract_y
_atom_site_fract_z
_atom_site_occupancy
Tl1 Tl 0.0000 0.0000 0.0000 1
Tl2 Tl 0.5000 0.5000 0.3599 1
Cr1 Cr 0.5000 0.5000 0.7395 1
Co1 Co 0.0000 0.0000 0.6042 1



[3]
# ScTcMo2 (PBE-GGA, relaxed)
# **Fermi-level density of states**: 3.13 states/eV/cell
# **VASP energy**: -9.519 eV/atom
# **ΔE to the lowest computed polymorph**: 0.179 eV per atom
# **V**: 67 Å³ per cell
data_ScTcMo2
_chemical_formula_sum 'Sc1 Tc1 Mo2'
_cell_length_a 3.1445
_cell_length_b 3.1445
_cell_length_c 6.7273
_cell_angle_alpha 90.00
_cell_angle_beta 90.00
_cell_angle_gamma 90.00
_symmetry_space_group_name_H-M 'P 4/m m m'
_symmetry_Int_Tables_number 123
_symmetry_space_group_name_Hall '-P 4 2'
loop_
_atom_site_label
_atom_site_type_symbol
_atom_site_fract_x
_atom_site_fract_y
_atom_site_fract_z
_atom_site_occupancy
Sc1 Sc 0.0000 0.0000 0.0000 1
Tc1 Tc 0.0000 0.0000 0.5000 1
Mo1 Mo 0.5000 0.5000 0.2732 1



[4]
# Cd2TcW (PBE-GGA, relaxed)
# **Fermi-level density of states**: 4.85 states/eV/cell
# **VASP energy**: -5.697 eV/atom
# **ΔE to the lowest computed polymorph**: 0.331 eV per atom
# **V**: 140 Å³ per cell
data_Cd2TcW
_chemical_formula_sum 'Cd4 Tc2 W2'
_cell_length_a 5.5036
_cell_length_b 9.6176
_cell_length_c 2.7525
_cell_angle_alpha 90.00
_cell_angle_beta 106.05
_cell_angle_gamma 90.00
_symmetry_space_group_name_H-M 'C 1 2/m 1'
_symmetry_Int_Tables_number 12
_symmetry_space_group_name_Hall '-C 2y'
loop_
_atom_site_label
_atom_site_type_symbol
_atom_site_fract_x
_atom_site_fract_y
_atom_site_fract_z
_atom_site_occupancy
Cd1 Cd 0.2500 0.2500 0.0000 1
Tc1 Tc 0.0000 0.0000 0.5000 1
W1 W 0.0000 0.5000 0.5000 1



[5]
# CrHgPb3 (PBE-GGA, relaxed)
# **Fermi-level density of states**: 0.44 states/eV/cell
# **VASP energy**: -3.895 eV/atom
# **ΔE to the lowest computed polymorph**: 0.000 eV per atom
# **V**: 143 Å³ per cell
data_CrHgPb3
_chemical_formula_sum 'Cr1 Hg1 Pb3'
_cell_length_a 5.2334
_cell_length_b 5.2334
_cell_length_c 5.2334
_cell_angle_alpha 90.00
_cell_angle_beta 90.00
_cell_angle_gamma 90.00
_symmetry_space_group_name_H-M 'P m -3 m'
_symmetry_Int_Tables_number 221
_symmetry_space_group_name_Hall '-P 4 2 3'
loop_
_atom_site_label
_atom_site_type_symbol
_atom_site_fract_x
_atom_site_fract_y
_atom_site_fract_z
_atom_site_occupancy
Cr1 Cr 0.0000 0.0000 0.0000 1
Hg1 Hg 0.5000 0.5000 0.5000 1
Pb1 Pb 0.0000 0.0000 0.5000 1



[6]
# BaLa2Y (PBE-GGA, relaxed)
# **Fermi-level density of states**: 12.37 states/eV/cell
# **VASP energy**: -4.453 eV/atom
# **ΔE to the lowest computed polymorph**: 0.001 eV per atom
# **V**: 475 Å³ per cell
data_BaLa2Y
_chemical_formula_sum 'Ba3 La6 Y3'
_cell_length_a 3.8020
_cell_length_b 3.8020
_cell_length_c 37.9627
_cell_angle_alpha 90.00
_cell_angle_beta 90.00
_cell_angle_gamma 120.00
_symmetry_space_group_name_H-M 'R -3 m'
_symmetry_Int_Tables_number 166
_symmetry_space_group_name_Hall '-R 3 2"'
loop_
_atom_site_label
_atom_site_type_symbol
_atom_site_fract_x
_atom_site_fract_y
_atom_site_fract_z
_atom_site_occupancy
Ba1 Ba 0.0000 0.0000 0.0000 1
La1 La 0.0000 0.0000 0.2425 1
Y1 Y 0.0000 0.0000 0.5000 1



[7]
# Ba5AcSe6 (PBE-GGA, relaxed)
# **Energy relative to the elements, uncorrected**: -24.27 eV/f.u.
# **Fermi-level density of states**: 5.45 states/eV/cell
# **VASP energy**: -4.909 eV/atom
# **V**: 864 Å³ per cell
data_Ba5AcSe6
_chemical_formula_sum 'Ba10 Ac2 Se12'
_cell_length_a 8.0899
_cell_length_b 14.0046
_cell_length_c 8.0860
_cell_angle_alpha 90.00
_cell_angle_beta 109.48
_cell_angle_gamma 90.00
_symmetry_space_group_name_H-M 'C 1 2/m 1'
_symmetry_Int_Tables_number 12
_symmetry_space_group_name_Hall '-C 2y'
loop_
_atom_site_label
_atom_site_type_symbol
_atom_site_fract_x
_atom_site_fract_y
_atom_site_fract_z
_atom_site_occupancy
Ba1 Ba 0.0000 0.0000 0.0000 1
Ba2 Ba 0.0000 0.1661 0.5000 1
Ba3 Ba 0.0000 0.3308 0.0000 1
Ac1 Ac 0.0000 0.5000 0.5000 1
Se1 Se 0.2386 0.5000 0.2565 1
Se2 Se 0.2409 0.3397 0.7420 1



[8]
# CaCuSb (PBE-GGA, relaxed)
# **Energy relative to the elements, uncorrected**: -1.83 eV/f.u.
# **Fermi-level density of states**: 4.29 states/eV/cell
# **VASP energy**: -4.016 eV/atom
# **V**: 292 Å³ per cell
data_CaCuSb
_chemical_formula_sum 'Ca4 Cu4 Sb4'
_cell_length_a 4.3564
_cell_length_b 4.3564
_cell_length_c 15.4048
_cell_angle_alpha 90.00
_cell_angle_beta 90.00
_cell_angle_gamma 90.00
_symmetry_space_group_name_H-M 'I 41 m d'
_symmetry_Int_Tables_number 109
_symmetry_space_group_name_Hall 'I 4bw -2'
loop_
_atom_site_label
_atom_site_type_symbol
_atom_site_fract_x
_atom_site_fract_y
_atom_site_fract_z
_atom_site_occupancy
Ca1 Ca 0.0000 0.0000 0.0000 1
Cu1 Cu 0.0000 0.0000 0.4190 1
Sb1 Sb 0.0000 0.0000 0.5845 1



[9]
# Ag4SBr2Cl (PBE-GGA, relaxed)
# **Energy relative to the elements, uncorrected**: -1.72 eV/f.u.
# **Fermi-level density of states**: 15.46 states/eV/cell
# **VASP energy**: -2.806 eV/atom
# **V**: 756 Å³ per cell
data_Ag4SBr2Cl
_chemical_formula_sum 'Ag16 S4 Br8 Cl4'
_cell_length_a 10.7192
_cell_length_b 13.1514
_cell_length_c 7.5247
_cell_angle_alpha 90.00
_cell_angle_beta 134.53
_cell_angle_gamma 90.00
_symmetry_space_group_name_H-M 'C 1 2/c 1'
_symmetry_Int_Tables_number 15
_symmetry_space_group_name_Hall '-C 2yc'
loop_
_atom_site_label
_atom_site_type_symbol
_atom_site_fract_x
_atom_site_fract_y
_atom_site_fract_z
_atom_site_occupancy
Ag1 Ag 0.0000 0.1987 0.0115 1
Ag2 Ag 0.2331 0.0048 0.9831 1
S1 S 0.0000 0.0000 0.0000 1
Br1 Br 0.0000 0.5000 0.0000 1
Br2 Br 0.2500 0.2500 0.0000 1
Cl1 Cl 0.2500 0.2500 0.5000 1



[10]
# Y2OsW (PBE-GGA, relaxed)
# **Fermi-level density of states**: 16.77 states/eV/cell
# **VASP energy**: -8.634 eV/atom
# **ΔE to the lowest computed polymorph**: 0.594 eV per atom
# **V**: 249 Å³ per cell
data_Y2OsW
_chemical_formula_sum 'Y6 Os3 W3'
_cell_length_a 3.1797
_cell_length_b 3.1797
_cell_length_c 28.4341
_cell_angle_alpha 90.00
_cell_angle_beta 90.00
_cell_angle_gamma 120.00
_symmetry_space_group_name_H-M 'R -3 m'
_symmetry_Int_Tables_number 166
_symmetry_space_group_name_Hall '-R 3 2"'
loop_
_atom_site_label
_atom_site_type_symbol
_atom_site_fract_x
_atom_site_fract_y
_atom_site_fract_z
_atom_site_occupancy
Y1 Y 0.0000 0.0000 0.2451 1
Os1 Os 0.0000 0.0000 0.5000 1
W1 W 0.0000 0.0000 0.0000 1